Entry 1:
Entry from the Alexandria database: an optimized crystal structure of TbPrSi2 (PBE).

Output
Total magnetic moment in μB per atom: 0.00
SG: No. 26
Uncorrected formation energy in meV per atom: -769
Excess energy over the best structure of this formula in the dataset in kcal/mol of atoms: 0.00

Lattice parameters (Å, degrees): 3.9163 5.8520 8.1472 90.00 90.00 90.00
Last column: nearest neighbours and their distance in Å.
Fractional positions:
Si (0.0000, 0.6207, 0.5363)  2 Si 2.50
Si (0.5000, 0.1328, 0.9649)  2 Si 2.50
Si (0.5000, 0.8672, 0.4649)  2 Si 2.50
Si (0.0000, 0.3793, 0.0363)  2 Si 2.50
Tb (0.5000, 0.3646, 0.3193)  7 Si 3.03-3.19
Tb (0.5000, 0.6354, 0.8193)  7 Si 3.03-3.19
Pr (0.0000, 0.8655, 0.1795)  7 Si 3.04-3.24
Pr (0.0000, 0.1345, 0.6795)  7 Si 3.04-3.24



Entry 2:
Entry from the Alexandria database: an optimized crystal structure of Tb2DyV (PBE).

Output
Calculated formation energy in eV per atom: 0.606
Total magnetic moment in μB per atom: 0.80
SG: No. 166

Lattice parameters (Å, degrees): 3.3788 3.3788 11.6061 81.63 81.63 60.00
Last column: nearest neighbours and their distance in Å.
Fractional positions:
V (0.0000, 0.0000, 0.0000)  2 Tb 2.81
Dy (0.5000, 0.5000, 0.5000)  6 Dy 3.38, 6 Tb 3.50
Tb (0.0819, 0.0819, 0.7542)  1 V 2.81
Tb (0.9181, 0.9181, 0.2458)  1 V 2.81



Entry 3:
Entry from the Alexandria database: an optimized crystal structure of Pr5Y2Ho (PBE).

Output
Calculated formation energy in eV per atom: 0.263
Total magnetic moment in μB per atom: 0.00
SG: No. 15
Excess energy over the best structure of this formula in the dataset in kcal/mol of atoms: 5.74

Lattice parameters (Å, degrees): 14.9193 14.9193 8.7562 63.67 63.67 123.59
Last column: nearest neighbours and their distance in Å.
Fractional positions:
Pr (0.1718, 0.4780, 0.1670)  3 Pr 3.10-3.25, 1 Y 3.22
Pr (0.1250, 0.9945, 0.8828)  2 Pr 3.10-3.15, 1 Y 3.34
Pr (0.8282, 0.5221, 0.8330)  3 Pr 3.10-3.25, 1 Y 3.22
Pr (0.5221, 0.8282, 0.3330)  3 Pr 3.10-3.25, 1 Y 3.22
Pr (0.3750, 0.6250, 0.2500)  4 Pr 3.15-3.25
Pr (0.0055, 0.8750, 0.6172)  2 Pr 3.10-3.15, 1 Y 3.34
Pr (0.4780, 0.1718, 0.6670)  3 Pr 3.10-3.25, 1 Y 3.22
Pr (0.8750, 0.0055, 0.1172)  2 Pr 3.10-3.15, 1 Y 3.34
Pr (0.9945, 0.1250, 0.3828)  2 Pr 3.10-3.15, 1 Y 3.34
Pr (0.6250, 0.3750, 0.7500)  4 Pr 3.15-3.25
Ho (0.7941, 0.2059, 0.2500)  4 Y 3.67-3.97, 6 Pr 3.69-4.03, 2 Ho 4.04
Ho (0.2059, 0.7941, 0.7500)  4 Y 3.67-3.97, 6 Pr 3.69-4.03, 2 Ho 4.04
Y (0.5000, 0.5000, 0.5000)  4 Pr 3.34-3.70
Y (0.5000, 0.0000, 0.0000)  2 Pr 3.22, 2 Y 3.31
Y (0.5000, 0.5000, 0.0000)  4 Pr 3.34-3.70
Y (0.0000, 0.5000, 0.5000)  2 Pr 3.22, 2 Y 3.31



Entry 4:
Entry from the Alexandria database: an optimized crystal structure of AlRu2Pb (PBE).

Output
Calculated formation energy in eV per atom: 0.230
Total magnetic moment in μB per atom: 0.00
SG: No. 25
Excess energy over the best structure of this formula in the dataset in kcal/mol of atoms: 5.27

Lattice parameters (Å, degrees): 4.7755 3.0834 4.5451 90.00 90.00 90.00
Last column: nearest neighbours and their distance in Å.
Fractional positions:
Pb (0.5000, 0.8750, 0.7276)  6 Ru 2.75-2.78, 4 Al 3.02
Ru (0.5000, 0.3750, 0.2277)  2 Al 2.69, 4 Pb 2.75, 4 Ru 2.96
Ru (0.0000, 0.8750, 0.0428)  4 Al 2.59-2.90, 2 Pb 2.78
Al (0.0000, 0.3750, 0.5019)  6 Ru 2.59-2.90